No. 1
## TbDyLuPu (PBE)

Data for TbDyLuPu after structural relaxation.

CIF file:
```
data_TbDyLuPu
_chemical_formula_sum 'Tb4 Dy4 Lu4 Pu4'
_symmetry_space_group_name_H-M 'F -4 3 m'
_symmetry_Int_Tables_number 216
_symmetry_space_group_name_Hall 'F -4 2 3'
_cell_length_a 7.8486
_cell_length_b 7.8486
_cell_length_c 7.8486
_cell_angle_alpha 90.00
_cell_angle_beta 90.00
_cell_angle_gamma 90.00
loop_
_atom_site_label
_atom_site_fract_x
_atom_site_fract_y
_atom_site_fract_z
Tb1 0.0000 0.0000 0.0000
Dy1 0.2500 0.2500 0.2500
Lu1 0.2500 0.2500 0.7500
Pu1 0.0000 0.0000 0.5000
```

Crystal system ... cubic
DOS at the Fermi energy ... 10.371 states/eV/f.u.
DFT formation energy ... 187 meV per atom



No. 2
## DyYLuPu (PBE)

Data for DyYLuPu after structural relaxation.

CIF file:
```
data_DyYLuPu
_chemical_formula_sum 'Dy4 Y4 Lu4 Pu4'
_symmetry_space_group_name_H-M 'F -4 3 m'
_symmetry_Int_Tables_number 216
_symmetry_space_group_name_Hall 'F -4 2 3'
_cell_length_a 7.8558
_cell_length_b 7.8558
_cell_length_c 7.8558
_cell_angle_alpha 90.00
_cell_angle_beta 90.00
_cell_angle_gamma 90.00
loop_
_atom_site_label
_atom_site_fract_x
_atom_site_fract_y
_atom_site_fract_z
Dy1 0.0000 0.0000 0.0000
Y1 0.2500 0.2500 0.7500
Lu1 0.0000 0.0000 0.5000
Pu1 0.2500 0.2500 0.2500
```

Crystal system ... cubic
DOS at the Fermi energy ... 10.154 states/eV/f.u.
DFT formation energy ... 188 meV per atom



No. 3
## DyLuRe4 (PBE)

Data for DyLuRe4 after structural relaxation.

CIF file:
```
data_DyLuRe4
_chemical_formula_sum 'Dy4 Lu4 Re16'
_symmetry_space_group_name_H-M 'F -4 3 m'
_symmetry_Int_Tables_number 216
_symmetry_space_group_name_Hall 'F -4 2 3'
_cell_length_a 7.6274
_cell_length_b 7.6274
_cell_length_c 7.6274
_cell_angle_alpha 90.00
_cell_angle_beta 90.00
_cell_angle_gamma 90.00
loop_
_atom_site_label
_atom_site_fract_x
_atom_site_fract_y
_atom_site_fract_z
Dy1 0.0000 0.0000 0.0000
Lu1 0.2500 0.2500 0.2500
Re1 0.1249 0.1249 0.6249
```

Crystal system ... cubic
DOS at the Fermi energy ... 7.581 states/eV/f.u.
DFT formation energy ... -220 meV per atom



No. 4
## Dy2LuRe (PBE)

Data for Dy2LuRe after structural relaxation.

CIF file:
```
data_Dy2LuRe
_chemical_formula_sum 'Dy6 Lu3 Re3'
_symmetry_space_group_name_H-M 'R -3 m'
_symmetry_Int_Tables_number 166
_symmetry_space_group_name_Hall '-R 3 2"'
_cell_length_a 3.4116
_cell_length_b 3.4116
_cell_length_c 30.9070
_cell_angle_alpha 90.00
_cell_angle_beta 90.00
_cell_angle_gamma 120.00
loop_
_atom_site_label
_atom_site_fract_x
_atom_site_fract_y
_atom_site_fract_z
Dy1 0.0000 0.0000 0.2340
Lu1 0.0000 0.0000 0.0000
Re1 0.0000 0.0000 0.5000
```

Crystal system ... trigonal
DOS at the Fermi energy ... 4.307 states/eV/f.u.
DFT formation energy ... 338 meV per atom